Record 1
Material: Y3Mg3CdAu2
Method: DFT, GGA-PBE
State: relaxed

Cell lengths 7.6842, 7.6842, 4.1524 Å; angles 90.00, 90.00, 120.00 degrees
Space group P-62m (No. 189)
Unique sites:
Y1 0.0000 0.5819 0.0000 [3 per cell]
Mg1 0.0000 0.2549 0.5000 [3 per cell]
Cd1 0.0000 0.0000 0.0000 [1 per cell]
Au1 0.3333 0.6667 0.5000 [2 per cell]

Properties
Spin magnetization (μB/f.u.): 0.0
Electronic total energy (eV/atom): -4.040

=====

Record 2
Material: NbAl
Method: DFT, GGA-PBE
State: relaxed

Cell lengths 5.289, 5.289, 5.289 Å; angles 90.00, 90.00, 90.00 degrees
Space group Fm-3m (No. 225)
Unique sites:
Nb1 0.000 0.000 0.000 [4 per cell]
Al1 0.000 0.000 0.500 [4 per cell]

Properties
Spin magnetization (μB/f.u.): 0.0
Electronic total energy (eV/atom): -6.686

=====

Record 3
Material: AgPbAuSe3
Method: DFT, GGA-PBE
State: relaxed

Cell lengths 4.003, 12.966, 11.216 Å; angles 90.00, 90.00, 90.00 degrees
Space group Cmcm (No. 63)
Unique sites:
Ag1 0.000 0.132 0.250 [4 per cell]
Pb1 0.000 0.190 0.750 [4 per cell]
Au1 0.000 0.500 0.000 [4 per cell]
Se1 0.000 0.134 0.017 [8 per cell]
Se2 0.000 0.470 0.250 [4 per cell]

Properties
Electronic total energy (eV/atom): -3.492

=====

Record 4
Material: Y2Mo4As3C3
Method: DFT, GGA-PBE
State: relaxed

Cell lengths 9.810, 5.782, 13.275 Å; angles 90.00, 100.71, 90.00 degrees
Space group C2/c (No. 15)
Unique sites:
Y1 0.050 0.079 0.385 [8 per cell]
Mo1 0.098 0.398 0.578 [8 per cell]
Mo2 0.235 0.430 0.924 [8 per cell]
As1 0.000 0.473 0.250 [4 per cell]
As2 0.195 0.138 0.739 [8 per cell]
C1 0.090 0.263 0.003 [8 per cell]
C2 0.250 0.250 0.500 [4 per cell]

Properties
Spin magnetization (μB/f.u.): 0.0
Electronic total energy (eV/atom): -8.514

=====

Which formula does entry 4 have? Y2Mo4As3C3

=====

electronic total energy of number 3 (AgPbAuSe3)? -3.492 eV/atom